Material: LiPa3Tl3Te8
Method: DFT, PBE-GGA
State: relaxed

abc: 8.7731 8.7724 9.7122
angles: 116.84 90.01 120.00
Fractional positions:
Li 0.0000 0.0000 0.5000
Pa 0.5000 0.0000 0.5000
Pa 0.5000 0.5000 0.5000
Pa 0.0000 0.5000 0.5000
Tl 0.0000 0.0000 0.0000
Tl 0.0000 0.5000 0.0000
Tl 0.5000 0.5000 0.0000
Te 0.2604 0.5208 0.2812
Te 0.7396 0.4792 0.7188
Te 0.7612 0.5224 0.2910
Te 0.2388 0.4776 0.7090
Te 0.7611 0.0299 0.2909
Te 0.2389 0.9701 0.7091
Te 0.2688 0.0299 0.2909
Te 0.7312 0.9701 0.7091

- energy relative to the elements, uncorrected (eV per atom) = -0.6759
- theoretical density (kg/m³) = 7016
- VASP energy (eV for the cell shown) = -72.8